First-principles (PBE) data for TlCd2Au after structural relaxation, as listed in the Alexandria database.

Values from the calculation:
- N(E_F): 1.8 states/eV/cell
- Total magnetization: 0.000 μB per atom
- Formation energy: 0.03 eV/atom

The structure in CIF format:
```
data_TlCd2Au
_chemical_formula_sum 'Tl1 Cd2 Au1'
_cell_length_a 4.5419
_cell_length_b 4.5419
_cell_length_c 4.4025
_cell_angle_alpha 90.00
_cell_angle_beta 90.00
_cell_angle_gamma 90.00
_space_group_name_H-M_alt 'P 4/m m m'
_space_group_IT_number 123
_space_group_name_Hall '-P 4 2'
loop_
_atom_site_label
_atom_site_type_symbol
_atom_site_fract_x
_atom_site_fract_y
_atom_site_fract_z
Tl1 Tl 0.0000 0.0000 0.0000
Cd1 Cd 0.0000 0.5000 0.5000
Au1 Au 0.5000 0.5000 0.0000
```